Material: SrCo2Ir
Method: DFT, GGA-PBE
State: relaxed

a b c (Å): 4.917 4.917 4.917
angles (deg): 130.02 130.02 73.38
Fractional coordinates of all 4 atoms:
Ir: 0.500 0.500 0.000
Co: 0.250 0.750 0.500
Co: 0.000 0.000 0.000
Sr: 0.750 0.250 0.500

Output
- total DFT energy (no corrections) (eV per atom) = -5.46
- formation energy (eV/f.u.) = 2.93
- magnetic moment (μB per cell) = 4.0
- space-group type = No. 119
- ρ (g/cm3) = 9.7

Material: AgIrBr2
Method: DFT, GGA-PBE
State: relaxed

a b c (Å): 7.795 6.219 3.199
angles (deg): 59.02 114.26 137.09
Fractional coordinates of all 4 atoms:
Br: 0.000 0.000 0.000
Ag: 0.500 0.500 0.000
Ir: 0.000 0.500 0.500
Br: 0.500 0.000 0.500

Output
- total DFT energy (no corrections) (eV per atom) = -3.14
- magnetic moment (μB per cell) = 0.0
- space-group type = No. 65
- formation energy from raw total energies (meV per atom) = 625
- relative energy among the computed polymorphs (meV per atom) = 449
- ρ (g/cm3) = 8.5

Material: SmYCdSi
Method: DFT, GGA-PBE
State: relaxed

a b c (Å): 5.159 5.159 5.159
angles (deg): 60.00 60.00 60.00
Fractional coordinates of all 4 atoms:
Cd: 0.250 0.250 0.250
Sm: 0.000 0.000 0.000
Si: 0.750 0.750 0.750
Y: 0.500 0.500 0.500

Output
- total DFT energy (no corrections) (eV per atom) = -4.78
- magnetic moment (μB per cell) = 0.0
- space-group type = No. 216
- formation energy from raw total energies (meV per atom) = -400
- ρ (g/cm3) = 6.5

Material: La2BeF
Method: DFT, GGA-PBE
State: relaxed

a b c (Å): 5.692 5.692 7.858
angles (deg): 68.77 68.77 90.00
Fractional coordinates of all 8 atoms:
La: 0.875 0.914 0.750
Be: 0.500 0.500 0.000
La: 0.664 0.125 0.250
La: 0.086 0.625 0.250
F: 0.000 0.000 0.000
F: 0.750 0.250 0.500
La: 0.375 0.336 0.750
Be: 0.250 0.750 0.500

Output
- total DFT energy (no corrections) (eV per atom) = -4.75
- magnetic moment (μB per cell) = 0.0
- space-group type = No. 122
- formation energy from raw total energies (meV per atom) = -890
- relative energy among the computed polymorphs (meV per atom) = 0
- ρ (g/cm3) = 4.6

Material: ScNiMo
Method: DFT, GGA-PBE
State: relaxed

a b c (Å): 2.858 5.765 6.100
angles (deg): 75.19 77.53 85.38
Fractional coordinates of all 6 atoms:
Mo: 0.087 0.342 0.177
Ni: 0.500 0.500 0.500
Mo: 0.913 0.658 0.823
Sc: 0.181 0.822 0.204
Ni: 0.500 0.000 0.500
Sc: 0.819 0.178 0.796

Output
- total DFT energy (no corrections) (eV per atom) = -7.68
- formation energy (eV/f.u.) = -0.10
- magnetic moment (μB per cell) = 0.0
- space-group type = No. 2
- relative energy among the computed polymorphs (meV per atom) = 84
- ρ (g/cm3) = 7.0

Material: Sc3BiOs
Method: DFT, GGA-PBE
State: relaxed

a b c (Å): 5.049 5.049 5.049
angles (deg): 90.00 90.00 90.00
Fractional coordinates of all 5 atoms:
Os: 0.000 0.000 0.000
Sc: 0.500 0.000 0.000
Sc: 0.000 0.500 0.000
Bi: 0.500 0.500 0.500
Sc: 0.000 0.000 0.500

Output
- total DFT energy (no corrections) (eV per atom) = -7.00
- formation energy (eV/f.u.) = -0.89
- magnetic moment (μB per cell) = 0.0
- space-group type = No. 221
- relative energy among the computed polymorphs (meV per atom) = 0
- ρ (g/cm3) = 6.9

Material: KZrZn2
Method: DFT, GGA-PBE
State: relaxed

a b c (Å): 5.066 5.066 5.066
angles (deg): 60.00 60.00 60.00
Fractional coordinates of all 4 atoms:
Zr: 0.500 0.500 0.500
Zn: 0.250 0.250 0.250
K: 0.000 0.000 0.000
Zn: 0.750 0.750 0.750

Output
- total DFT energy (no corrections) (eV per atom) = -2.58
- formation energy (eV/f.u.) = 1.88
- magnetic moment (μB per cell) = 0.0
- space-group type = No. 225
- relative energy among the computed polymorphs (meV per atom) = 397
- ρ (g/cm3) = 4.7

Material: La2Ga4Rh3Au
Method: DFT, GGA-PBE
State: relaxed

a b c (Å): 4.370 4.370 10.317
angles (deg): 90.00 90.00 90.00
Fractional coordinates of all 10 atoms:
Rh: 0.500 0.000 0.875
Ga: 0.500 0.000 0.634
La: 0.000 0.500 0.751
Ga: 0.500 0.500 0.000
Ga: 0.000 0.000 0.000
La: 0.500 0.000 0.249
Rh: 0.000 0.000 0.500
Au: 0.500 0.500 0.500
Ga: 0.000 0.500 0.366
Rh: 0.000 0.500 0.125

Output
- total DFT energy (no corrections) (eV per atom) = -5.49
- formation energy (eV/f.u.) = -7.57
- magnetic moment (μB per cell) = 0.0
- space-group type = No. 115
- ρ (g/cm3) = 9.0